Entry 1:
A geometry-optimized Er6Th3Sc structure, computed with PBE.

Structure (CIF):
```
data_Er6Th3Sc
_chemical_formula_sum 'Er18 Th9 Sc3'
_space_group_name_H-M_alt 'R -3'
_space_group_IT_number 148
_space_group_name_Hall '-R 3'
_cell_length_a 9.7275
_cell_length_b 9.7275
_cell_length_c 11.7301
_cell_angle_alpha 90.00
_cell_angle_beta 90.00
_cell_angle_gamma 120.00
loop_
_atom_site_label
_atom_site_type_symbol
_atom_site_fract_x
_atom_site_fract_y
_atom_site_fract_z
Er1 Er 0.0007 0.3293 0.4204
Th1 Th 0.0000 0.0000 0.0000
Th2 Th 0.0000 0.0000 0.2550
Sc1 Sc 0.0000 0.0000 0.5000
```

***

Entry 2:
A geometry-optimized Er14ThSc structure, computed with PBE.

Structure (CIF):
```
data_Er14ThSc
_chemical_formula_sum 'Er14 Th1 Sc1'
_space_group_name_H-M_alt 'P 4/m m m'
_space_group_IT_number 123
_space_group_name_Hall '-P 4 2'
_cell_length_a 6.993
_cell_length_b 6.993
_cell_length_c 9.874
_cell_angle_alpha 90.00
_cell_angle_beta 90.00
_cell_angle_gamma 90.00
loop_
_atom_site_label
_atom_site_type_symbol
_atom_site_fract_x
_atom_site_fract_y
_atom_site_fract_z
Er1 Er 0.000 0.000 0.000
Er2 Er 0.000 0.500 0.000
Er3 Er 0.000 0.500 0.500
Er4 Er 0.250 0.250 0.253
Er5 Er 0.500 0.500 0.000
Th1 Th 0.000 0.000 0.500
Sc1 Sc 0.500 0.500 0.500
```

***

Entry 3:
A geometry-optimized Er2Th5Sc structure, computed with PBE.

Structure (CIF):
```
data_Er2Th5Sc
_chemical_formula_sum 'Er4 Th10 Sc2'
_space_group_name_H-M_alt 'I 4 m m'
_space_group_IT_number 107
_space_group_name_Hall 'I 4 -2'
_cell_length_a 7.018
_cell_length_b 7.018
_cell_length_c 10.037
_cell_angle_alpha 90.00
_cell_angle_beta 90.00
_cell_angle_gamma 90.00
loop_
_atom_site_label
_atom_site_type_symbol
_atom_site_fract_x
_atom_site_fract_y
_atom_site_fract_z
Er1 Er 0.000 0.500 0.000
Th1 Th 0.000 0.000 0.000
Th2 Th 0.250 0.250 0.250
Sc1 Sc 0.000 0.000 0.500
```

***

Entry 4:
A geometry-optimized Er2Th5Sc5 structure, computed with PBE.

Structure (CIF):
```
data_Er2Th5Sc5
_chemical_formula_sum 'Er4 Th10 Sc10'
_space_group_name_H-M_alt 'C 1 2/m 1'
_space_group_IT_number 12
_space_group_name_Hall '-C 2y'
_cell_length_a 14.577
_cell_length_b 4.842
_cell_length_c 10.929
_cell_angle_alpha 90.00
_cell_angle_beta 116.57
_cell_angle_gamma 90.00
loop_
_atom_site_label
_atom_site_type_symbol
_atom_site_fract_x
_atom_site_fract_y
_atom_site_fract_z
Er1 Er 0.082 0.000 0.253
Th1 Th 0.000 0.000 0.500
Th2 Th 0.166 0.000 0.000
Th3 Th 0.250 0.000 0.748
Sc1 Sc 0.000 0.500 0.000
Sc2 Sc 0.083 0.500 0.746
Sc3 Sc 0.168 0.500 0.503
```

***

Formation energy from the elements, respectively: 331.4; 24.8; 57.2; 44.6 meV per atom.